KMnTl2: relaxed, PBE.

Lattice parameters (Å, degrees): 7.7227 7.7227 7.7227 90.00 90.00 90.00
Closest atoms and distances in Å follow each position.
Space group F-43m (No. 216)
Asymmetric unit:
K1 0.0000 0.0000 0.0000 [4 per cell]  4 Tl 3.34, 4 Mn 3.34
Mn1 0.2500 0.2500 0.7500 [4 per cell]  4 Tl 3.34, 4 K 3.34
Tl1 0.0000 0.0000 0.5000 [4 per cell]  4 Tl 3.34, 4 Mn 3.34
Tl2 0.2500 0.2500 0.2500 [4 per cell]  4 Tl 3.34, 4 K 3.34

Computed properties:
Energy relative to the elements = 0.4620 eV/atom
Raw total energy = -52.606 eV/cell

=====

KMnTl: relaxed, PBE.

Lattice parameters (Å, degrees): 4.8145 4.8145 5.0805 90.00 90.00 120.00
Closest atoms and distances in Å follow each position.
Space group P-6m2 (No. 187)
Asymmetric unit:
K1 0.0000 0.0000 0.0000 [1 per cell]  6 Mn 3.77, 6 Tl 3.77
Mn1 0.6667 0.3333 0.5000 [1 per cell]  3 Tl 2.78
Tl1 0.3333 0.6667 0.5000 [1 per cell]  3 Mn 2.78

Computed properties:
Energy relative to the elements = 0.5224 eV/atom
Raw total energy = -11.066 eV/cell

=====

KMnTl3: relaxed, PBE.

Lattice parameters (Å, degrees): 5.2865 5.2865 5.2865 90.00 90.00 90.00
Closest atoms and distances in Å follow each position.
Space group Pm-3m (No. 221)
Asymmetric unit:
K1 0.0000 0.0000 0.0000 [1 per cell]  12 Tl 3.74
Mn1 0.5000 0.5000 0.5000 [1 per cell]  6 Tl 2.64
Tl1 0.0000 0.5000 0.5000 [3 per cell]  2 Mn 2.64

Computed properties:
Energy relative to the elements = 0.1575 eV/atom
Raw total energy = -16.578 eV/cell

=====

KMnTl2: relaxed, PBE.

Lattice parameters (Å, degrees): 3.5146 3.6590 8.5512 90.00 90.11 90.00
Closest atoms and distances in Å follow each position.
Space group P2/m (No. 10)
Asymmetric unit:
K1 0.0000 0.0000 0.0000 [1 per cell]  4 K 3.51-3.66, 8 Tl 3.64-3.65
Mn1 0.0000 0.0000 0.5000 [1 per cell]  8 Tl 3.03
Tl1 0.5000 0.5000 0.3065 [2 per cell]  4 Mn 3.03, 1 Tl 3.31

Computed properties:
Energy relative to the elements = 0.2061 eV/atom
Raw total energy = -14.175 eV/cell

=====

KMnTl2: relaxed, PBE.

Lattice parameters (Å, degrees): 8.8721 3.3875 8.0930 90.00 97.04 90.00
Closest atoms and distances in Å follow each position.
Space group C2/m (No. 12)
Asymmetric unit:
K1 0.0000 0.0000 0.0000 [2 per cell]  2 K 3.39, 6 Tl 3.53-3.64
Mn1 0.0000 0.5000 0.5000 [2 per cell]  6 Tl 2.89-2.98
Tl1 0.2408 0.0000 0.6838 [4 per cell]  3 Mn 2.89-2.98

Computed properties:
Energy relative to the elements = 0.2861 eV/atom
Raw total energy = -27.710 eV/cell

=====

KMnTl2: relaxed, PBE.

Lattice parameters (Å, degrees): 5.3328 5.3328 3.9962 90.00 90.00 90.00
Closest atoms and distances in Å follow each position.
Space group P4/mmm (No. 123)
Asymmetric unit:
K1 0.0000 0.0000 0.0000 [1 per cell]  8 Tl 3.33
Mn1 0.5000 0.5000 0.0000 [1 per cell]  8 Tl 3.33
Tl1 0.0000 0.5000 0.5000 [2 per cell]  4 Mn 3.33, 4 K 3.33

Computed properties:
Energy relative to the elements = 0.4345 eV/atom
Raw total energy = -13.261 eV/cell

=====

KMnTl: relaxed, PBE.

Lattice parameters (Å, degrees): 3.5181 3.5181 8.2638 90.00 90.00 120.00
Closest atoms and distances in Å follow each position.
Space group P3m1 (No. 156)
Asymmetric unit:
K1 0.0000 0.0000 0.0000 [1 per cell]  6 K 3.52, 3 Tl 3.64, 3 Mn 3.68
Mn1 0.6667 0.3333 0.3714 [1 per cell]  3 Tl 2.98
Tl1 0.3333 0.6667 0.6352 [1 per cell]  3 Mn 2.98

Computed properties:
Energy relative to the elements = 0.6218 eV/atom
Raw total energy = -10.768 eV/cell

=====

KMnTl3: relaxed, PBE.

Lattice parameters (Å, degrees): 6.0415 6.0415 6.0415 90.00 90.00 90.00
Closest atoms and distances in Å follow each position.
Space group Pm-3m (No. 221)
Asymmetric unit:
K1 0.0000 0.0000 0.0000 [1 per cell]  6 Tl 3.02
Mn1 0.5000 0.5000 0.5000 [1 per cell]  12 Tl 4.27
Tl1 0.0000 0.0000 0.5000 [3 per cell]  2 K 3.02

Computed properties:
Energy relative to the elements = 1.1211 eV/atom
Raw total energy = -11.760 eV/cell

=====

> Look up the raw total energy of the third one.

-16.578 eV/cell

=====

> Among the records above, which one has the lowest raw total energy?

number 1

=====

> Which of these has the highest raw total energy?

number 7

=====

Repeat the third record exactly.
KMnTl3: relaxed, PBE.

Lattice parameters (Å, degrees): 5.2865 5.2865 5.2865 90.00 90.00 90.00
Closest atoms and distances in Å follow each position.
Space group Pm-3m (No. 221)
Asymmetric unit:
K1 0.0000 0.0000 0.0000 [1 per cell]  12 Tl 3.74
Mn1 0.5000 0.5000 0.5000 [1 per cell]  6 Tl 2.64
Tl1 0.0000 0.5000 0.5000 [3 per cell]  2 Mn 2.64

Computed properties:
Energy relative to the elements = 0.1575 eV/atom
Raw total energy = -16.578 eV/cell